No. 1
CaAcOs4 GGA-PBE relaxed; energy of formation = 0.2031 eV per atom; volume = 19.43 A^3/atom
1.0
5.483 0.000 0.000
2.742 4.749 0.000
2.742 1.583 4.477
Ac Os Ca
1 4 1
direct
0.250 0.250 0.250
0.626 0.626 0.123
0.626 0.123 0.626
0.626 0.626 0.626
0.123 0.626 0.626
0.000 0.000 0.000



No. 2
Ca2Ac2Os GGA-PBE relaxed; energy of formation = 0.1052 eV per atom; volume = 35.97 A^3/atom
1.0
5.085 0.000 -0.780
-0.120 5.084 -0.780
-0.446 -0.457 14.051
Ca Ac Os
4 4 2
direct
0.823 0.823 0.645
0.073 0.573 0.145
0.427 0.927 0.855
0.177 0.177 0.355
0.945 0.445 0.890
0.695 0.695 0.390
0.305 0.305 0.610
0.555 0.055 0.110
0.500 0.500 0.000
0.750 0.250 0.500



No. 3
CaAc8Os2 GGA-PBE relaxed; energy of formation = 0.0311 eV per atom; volume = 40.38 A^3/atom
1.0
6.898 0.288 0.250
-0.171 6.891 -3.233
0.582 0.166 9.289
Ca Ac Os
1 8 2
direct
0.000 0.000 0.000
0.605 0.892 0.276
0.395 0.616 0.724
0.900 0.789 0.578
0.100 0.211 0.422
0.605 0.384 0.276
0.395 0.108 0.724
0.166 0.579 0.157
0.834 0.421 0.843
0.329 0.728 0.457
0.671 0.272 0.543



No. 4
CaAc4Os GGA-PBE relaxed; energy of formation = 0.0135 eV per atom; volume = 41.26 A^3/atom
1.0
7.301 0.000 3.456
0.536 6.692 -1.131
-0.359 -1.137 10.200
Ca Ac Os
2 8 2
direct
0.805 0.183 0.389
0.195 0.817 0.611
0.683 0.788 0.634
0.641 0.618 0.223
0.742 0.000 0.000
0.864 0.382 0.777
0.317 0.212 0.366
0.359 0.382 0.777
0.258 0.000 0.000
0.136 0.618 0.223
0.536 0.649 0.927
0.464 0.351 0.073



> Among the records above, which one has the lowest volume?

CaAcOs4



> volume of number 1 (CaAcOs4)?

19.43 A^3/atom